Entry 1:
A relaxed structure of BeFeSbTe2. Source: the Alexandria database, functional PBE.

Structure (CIF):
```
data_BeFeSbTe2
_chemical_formula_sum 'Be1 Fe1 Sb1 Te2'
_symmetry_space_group_name_H-M 'P 4/m m m'
_symmetry_Int_Tables_number 123
_symmetry_space_group_name_Hall '-P 4 2'
_cell_length_a 5.1242
_cell_length_b 5.1242
_cell_length_c 4.9003
_cell_angle_alpha 90.00
_cell_angle_beta 90.00
_cell_angle_gamma 90.00
loop_
_atom_site_label
_atom_site_type_symbol
_atom_site_fract_x
_atom_site_fract_y
_atom_site_fract_z
Be1 Be 0.0000 0.0000 0.0000
Fe1 Fe 0.5000 0.5000 0.5000
Sb1 Sb 0.5000 0.5000 0.0000
Te1 Te 0.0000 0.5000 0.5000
```

Formation energy (no corrections) (meV per atom): 854
Spin magnetization (μB/cell): 2.33
Total DFT energy (no corrections) (eV/atom): -3.67
E above lowest polymorph (eV per atom): 0.022
Fermi-level density of states (states/eV/f.u.): 5.7

***

Entry 2:
A relaxed structure of NbCr4Pd. Source: the Alexandria database, functional PBE.

Structure (CIF):
```
data_NbCr4Pd
_chemical_formula_sum 'Nb4 Cr16 Pd4'
_symmetry_space_group_name_H-M 'F -4 3 m'
_symmetry_Int_Tables_number 216
_symmetry_space_group_name_Hall 'F -4 2 3'
_cell_length_a 6.8578
_cell_length_b 6.8578
_cell_length_c 6.8578
_cell_angle_alpha 90.00
_cell_angle_beta 90.00
_cell_angle_gamma 90.00
loop_
_atom_site_label
_atom_site_type_symbol
_atom_site_fract_x
_atom_site_fract_y
_atom_site_fract_z
Nb1 Nb 0.0000 0.0000 0.0000
Cr1 Cr 0.1267 0.1267 0.6267
Pd1 Pd 0.2500 0.2500 0.2500
```

Spin magnetization (μB/cell): 0.00
Total DFT energy (no corrections) (eV/atom): -8.89
Energy of formation (eV/atom): 0.07
Fermi-level density of states (states/eV/f.u.): 8.2

***

Entry 3:
A relaxed structure of Sm2ThAu4. Source: the Alexandria database, functional PBE.

Structure (CIF):
```
data_Sm2ThAu4
_chemical_formula_sum 'Sm4 Th2 Au8'
_symmetry_space_group_name_H-M 'I 4/m m m'
_symmetry_Int_Tables_number 139
_symmetry_space_group_name_Hall '-I 4 2'
_cell_length_a 7.1350
_cell_length_b 7.1350
_cell_length_c 7.4042
_cell_angle_alpha 90.00
_cell_angle_beta 90.00
_cell_angle_gamma 90.00
loop_
_atom_site_label
_atom_site_type_symbol
_atom_site_fract_x
_atom_site_fract_y
_atom_site_fract_z
Sm1 Sm 0.0000 0.5000 0.0000
Th1 Th 0.0000 0.0000 0.0000
Au1 Au 0.2500 0.2500 0.2500
```

Spin magnetization (μB/cell): 0.00
Total DFT energy (no corrections) (eV/atom): -4.85
Energy of formation (eV/atom): -0.57
Fermi-level density of states (states/eV/f.u.): 5.1

***

Entry 4:
A relaxed structure of YZrI2O. Source: the Alexandria database, functional PBE.

Structure (CIF):
```
data_YZrI2O
_chemical_formula_sum 'Y1 Zr1 I2 O1'
_symmetry_space_group_name_H-M 'P 4/m m m'
_symmetry_Int_Tables_number 123
_symmetry_space_group_name_Hall '-P 4 2'
_cell_length_a 6.1514
_cell_length_b 6.1514
_cell_length_c 4.1166
_cell_angle_alpha 90.00
_cell_angle_beta 90.00
_cell_angle_gamma 90.00
loop_
_atom_site_label
_atom_site_type_symbol
_atom_site_fract_x
_atom_site_fract_y
_atom_site_fract_z
Y1 Y 0.0000 0.0000 0.0000
Zr1 Zr 0.5000 0.5000 0.5000
I1 I 0.0000 0.5000 0.0000
O1 O 0.0000 0.0000 0.5000
```

Formation energy (no corrections) (meV per atom): -808
Spin magnetization (μB/cell): 2.76
Total DFT energy (no corrections) (eV/atom): -5.42
E above lowest polymorph (eV per atom): 0.185
Fermi-level density of states (states/eV/f.u.): 2.9

***

Entry 5:
A relaxed structure of PrBi2Pd2. Source: the Alexandria database, functional PBE.

Structure (CIF):
```
data_PrBi2Pd2
_chemical_formula_sum 'Pr2 Bi4 Pd4'
_symmetry_space_group_name_H-M 'P 1 21/m 1'
_symmetry_Int_Tables_number 11
_symmetry_space_group_name_Hall '-P 2yb'
_cell_length_a 4.9294
_cell_length_b 4.7029
_cell_length_c 11.2469
_cell_angle_alpha 90.00
_cell_angle_beta 100.15
_cell_angle_gamma 90.00
loop_
_atom_site_label
_atom_site_type_symbol
_atom_site_fract_x
_atom_site_fract_y
_atom_site_fract_z
Pr1 Pr 0.1362 0.2500 0.2971
Bi1 Bi 0.2509 0.7500 0.0107
Bi2 Bi 0.3513 0.2500 0.6368
Pd1 Pd 0.1824 0.2500 0.8597
Pd2 Pd 0.1936 0.7500 0.5039
```

Spin magnetization (μB/cell): 0.00
Total DFT energy (no corrections) (eV/atom): -5.18
Energy of formation (eV/atom): -0.60
E above lowest polymorph (eV per atom): 0.000
Fermi-level density of states (states/eV/f.u.): 2.4

***

Entry 6:
A relaxed structure of CaLuNiPd. Source: the Alexandria database, functional PBE.

Structure (CIF):
```
data_CaLuNiPd
_chemical_formula_sum 'Ca4 Lu4 Ni4 Pd4'
_symmetry_space_group_name_H-M 'F -4 3 m'
_symmetry_Int_Tables_number 216
_symmetry_space_group_name_Hall 'F -4 2 3'
_cell_length_a 6.8336
_cell_length_b 6.8336
_cell_length_c 6.8336
_cell_angle_alpha 90.00
_cell_angle_beta 90.00
_cell_angle_gamma 90.00
loop_
_atom_site_label
_atom_site_type_symbol
_atom_site_fract_x
_atom_site_fract_y
_atom_site_fract_z
Ca1 Ca 0.0000 0.0000 0.0000
Lu1 Lu 0.0000 0.0000 0.5000
Ni1 Ni 0.2500 0.2500 0.2500
Pd1 Pd 0.2500 0.2500 0.7500
```

Spin magnetization (μB/cell): 0.00
Total DFT energy (no corrections) (eV/atom): -4.86
Energy of formation (eV/atom): -0.48
Fermi-level density of states (states/eV/f.u.): 3.5

***

Entry 7:
A relaxed structure of Sr4Cu3Bi8. Source: the Alexandria database, functional PBE.

Structure (CIF):
```
data_Sr4Cu3Bi8
_chemical_formula_sum 'Sr4 Cu3 Bi8'
_symmetry_space_group_name_H-M 'P -4 m 2'
_symmetry_Int_Tables_number 115
_symmetry_space_group_name_Hall 'P -4 -2'
_cell_length_a 4.6723
_cell_length_b 4.6723
_cell_length_c 20.7841
_cell_angle_alpha 90.00
_cell_angle_beta 90.00
_cell_angle_gamma 90.00
loop_
_atom_site_label
_atom_site_type_symbol
_atom_site_fract_x
_atom_site_fract_y
_atom_site_fract_z
Sr1 Sr 0.0000 0.5000 0.1165
Sr2 Sr 0.0000 0.5000 0.6190
Cu1 Cu 0.0000 0.0000 0.0000
Cu2 Cu 0.0000 0.0000 0.5000
Cu3 Cu 0.5000 0.5000 0.5000
Bi1 Bi 0.0000 0.0000 0.2477
Bi2 Bi 0.0000 0.5000 0.4282
Bi3 Bi 0.0000 0.5000 0.9367
Bi4 Bi 0.5000 0.5000 0.2497
```

Spin magnetization (μB/cell): 0.00
Total DFT energy (no corrections) (eV/atom): -3.71
Energy of formation (eV/atom): -0.37
Fermi-level density of states (states/eV/f.u.): 11.7

***

Entry 8:
A relaxed structure of CaZr2. Source: the Alexandria database, functional PBE.

Structure (CIF):
```
data_CaZr2
_chemical_formula_sum 'Ca4 Zr8'
_symmetry_space_group_name_H-M 'I 41/a m d'
_symmetry_Int_Tables_number 141
_cell_length_a 4.5454
_cell_length_b 4.5454
_cell_length_c 17.1907
_cell_angle_alpha 90.00
_cell_angle_beta 90.00
_cell_angle_gamma 90.00
loop_
_symmetry_equiv_pos_as_xyz
'x,y,z'
'-x,-y,-z'
'-y+1/4,x+3/4,z+1/4'
'y+1/4,-x+3/4,-z+1/4'
'-x+1/2,-y,z+1/2'
'x+1/2,y,-z+1/2'
'y+1/4,-x+1/4,z+3/4'
'-y+1/4,x+1/4,-z+3/4'
'x,-y,-z'
'-x,y,z'
'-y+1/4,-x+1/4,-z+3/4'
'y+1/4,x+1/4,z+3/4'
'-x+1/2,y,-z+1/2'
'x+1/2,-y,z+1/2'
'y+1/4,x+3/4,-z+1/4'
'-y+1/4,-x+3/4,z+1/4'
'x+1/2,y+1/2,z+1/2'
'-x+1/2,-y+1/2,-z+1/2'
'-y+3/4,x+1/4,z+3/4'
'y+3/4,-x+1/4,-z+3/4'
'-x,-y+1/2,z'
'x,y+1/2,-z'
'y+3/4,-x+3/4,z+1/4'
'-y+3/4,x+3/4,-z+1/4'
'x+1/2,-y+1/2,-z+1/2'
'-x+1/2,y+1/2,z+1/2'
'-y+3/4,-x+3/4,-z+1/4'
'y+3/4,x+3/4,z+1/4'
'-x,y+1/2,-z'
'x,-y+1/2,z'
'y+3/4,x+1/4,-z+3/4'
'-y+3/4,-x+1/4,z+3/4'
loop_
_atom_site_label
_atom_site_type_symbol
_atom_site_fract_x
_atom_site_fract_y
_atom_site_fract_z
Ca1 Ca 0.0000 0.2500 0.3750
Zr1 Zr 0.0000 0.2500 0.7872
```

Spin magnetization (μB/cell): 0.00
Total DFT energy (no corrections) (eV/atom): -5.59
Energy of formation (eV/atom): 0.77
E above lowest polymorph (eV per atom): 0.619
Fermi-level density of states (states/eV/f.u.): 1.8

***

Entry 9:
A relaxed structure of CaCdRu2. Source: the Alexandria database, functional PBE.

Structure (CIF):
```
data_CaCdRu2
_chemical_formula_sum 'Ca2 Cd2 Ru4'
_symmetry_space_group_name_H-M 'C m m m'
_symmetry_Int_Tables_number 65
_symmetry_space_group_name_Hall '-C 2 2'
_cell_length_a 5.8612
_cell_length_b 8.6824
_cell_length_c 2.8777
_cell_angle_alpha 90.00
_cell_angle_beta 90.00
_cell_angle_gamma 90.00
loop_
_atom_site_label
_atom_site_type_symbol
_atom_site_fract_x
_atom_site_fract_y
_atom_site_fract_z
Ca1 Ca 0.0000 0.0000 0.0000
Cd1 Cd 0.0000 0.5000 0.0000
Ru1 Ru 0.2500 0.2500 0.5000
```

Spin magnetization (μB/cell): 4.83
Total DFT energy (no corrections) (eV/atom): -4.88
Energy of formation (eV/atom): 0.49
Fermi-level density of states (states/eV/f.u.): 3.2

***

Entry 10:
A relaxed structure of LaPm2Ru. Source: the Alexandria database, functional PBE.

Structure (CIF):
```
data_LaPm2Ru
_chemical_formula_sum 'La3 Pm6 Ru3'
_symmetry_space_group_name_H-M 'R -3 m'
_symmetry_Int_Tables_number 166
_symmetry_space_group_name_Hall '-R 3 2"'
_cell_length_a 3.7820
_cell_length_b 3.7820
_cell_length_c 32.0513
_cell_angle_alpha 90.00
_cell_angle_beta 90.00
_cell_angle_gamma 120.00
loop_
_atom_site_label
_atom_site_type_symbol
_atom_site_fract_x
_atom_site_fract_y
_atom_site_fract_z
La1 La 0.0000 0.0000 0.0000
Pm1 Pm 0.0000 0.0000 0.1129
Ru1 Ru 0.0000 0.0000 0.5000
```

Spin magnetization (μB/cell): 1.17
Total DFT energy (no corrections) (eV/atom): -5.79
Energy of formation (eV/atom): 0.14
E above lowest polymorph (eV per atom): 0.372
Fermi-level density of states (states/eV/f.u.): 5.0

***

Entry 11:
A relaxed structure of SrAc12Nd3. Source: the Alexandria database, functional PBE.

Structure (CIF):
```
data_SrAc12Nd3
_chemical_formula_sum 'Sr1 Ac12 Nd3'
_symmetry_space_group_name_H-M 'P 4/m m m'
_symmetry_Int_Tables_number 123
_symmetry_space_group_name_Hall '-P 4 2'
_cell_length_a 5.5847
_cell_length_b 5.5847
_cell_length_c 22.2908
_cell_angle_alpha 90.00
_cell_angle_beta 90.00
_cell_angle_gamma 90.00
loop_
_atom_site_label
_atom_site_type_symbol
_atom_site_fract_x
_atom_site_fract_y
_atom_site_fract_z
Sr1 Sr 0.0000 0.0000 0.0000
Ac1 Ac 0.0000 0.5000 0.1316
Ac2 Ac 0.0000 0.5000 0.3768
Ac3 Ac 0.5000 0.5000 0.0000
Ac4 Ac 0.5000 0.5000 0.2533
Ac5 Ac 0.5000 0.5000 0.5000
Nd1 Nd 0.0000 0.0000 0.2525
Nd2 Nd 0.0000 0.0000 0.5000
```

Spin magnetization (μB/cell): 0.00
Total DFT energy (no corrections) (eV/atom): -4.05
Energy of formation (eV/atom): 0.03
Fermi-level density of states (states/eV/f.u.): 27.9

***

Entry 12:
A relaxed structure of La4Cu. Source: the Alexandria database, functional PBE.

Structure (CIF):
```
data_La4Cu
_chemical_formula_sum 'La16 Cu4'
_symmetry_space_group_name_H-M 'C 1 2/c 1'
_symmetry_Int_Tables_number 15
_symmetry_space_group_name_Hall '-C 2yc'
_cell_length_a 9.2028
_cell_length_b 14.8579
_cell_length_c 6.5275
_cell_angle_alpha 90.00
_cell_angle_beta 133.32
_cell_angle_gamma 90.00
loop_
_atom_site_label
_atom_site_type_symbol
_atom_site_fract_x
_atom_site_fract_y
_atom_site_fract_z
La1 La 0.1437 0.2029 0.1262
La2 La 0.2416 0.4492 0.3404
Cu1 Cu 0.0000 0.3796 0.7500
```

Spin magnetization (μB/cell): 0.00
Total DFT energy (no corrections) (eV/atom): -4.77
Energy of formation (eV/atom): -0.01
E above lowest polymorph (eV per atom): 0.047
Fermi-level density of states (states/eV/f.u.): 8.0

***

Question: Among the records above, which one has the lowest total DFT energy (no corrections)?
Answer: NbCr4Pd